Na4Tb3SmSe8, relaxed, DFT GGA-PBE; Fermi-level density of states = 0.00 states/eV/cell; formation energy (no corrections) = -1.704 eV/atom
1.0
4.181 2.414 7.011
-4.181 2.414 7.011
0.000 -4.827 7.011
Na Tb Sm Se
4 3 1 8
direct
0.000 0.000 0.000 Na
0.000 0.500 0.500 Na
0.500 0.000 0.500 Na
0.500 0.500 0.000 Na
0.000 0.000 0.500 Tb
0.000 0.500 0.000 Tb
0.500 0.000 0.000 Tb
0.500 0.500 0.500 Sm
0.240 0.746 0.746 Se
0.243 0.243 0.243 Se
0.254 0.254 0.760 Se
0.254 0.760 0.254 Se
0.746 0.240 0.746 Se
0.746 0.746 0.240 Se
0.757 0.757 0.757 Se
0.760 0.254 0.254 Se